[1]
# NaCdPt2 GGA-PBE optimized geometry
data_NaCdPt2
_symmetry_space_group_name_H-M 'P 4/m m m'
_symmetry_Int_Tables_number 123
_symmetry_space_group_name_Hall '-P 4 2'
_cell_length_a 2.8973
_cell_length_b 2.8973
_cell_length_c 8.5484
_cell_angle_alpha 90.00
_cell_angle_beta 90.00
_cell_angle_gamma 90.00
loop_
_atom_site_label
_atom_site_fract_x
_atom_site_fract_y
_atom_site_fract_z
Na1 0.0000 0.0000 0.0000
Cd1 0.0000 0.0000 0.5000
Pt1 0.5000 0.5000 0.2645
# formation energy from the elements	-74	kJ/mol of formula units
# uncorrected energy	-3.77	eV/atom
# magnetization	0.00	μB per formula unit

[2]
# Ba4RhI2F GGA-PBE optimized geometry
data_Ba4RhI2F
_symmetry_space_group_name_H-M 'P 1 2/m 1'
_symmetry_Int_Tables_number 10
_cell_length_a 7.6372
_cell_length_b 4.5953
_cell_length_c 8.9404
_cell_angle_alpha 90.00
_cell_angle_beta 104.90
_cell_angle_gamma 90.00
loop_
_symmetry_equiv_pos_as_xyz
'x,y,z'
'-x,-y,-z'
'-x,y,-z'
'x,-y,z'
loop_
_atom_site_label
_atom_site_fract_x
_atom_site_fract_y
_atom_site_fract_z
Ba1 0.2472 0.0000 0.1881
Ba2 0.2480 0.5000 0.7961
Rh1 0.0000 0.5000 0.0000
I1 0.0000 0.0000 0.5000
I2 0.5000 0.5000 0.5000
F1 0.5000 0.0000 0.0000
# formation energy without anion corrections	-1.391	eV per atom
# uncorrected energy	-3.89	eV/atom
# magnetization	0.00	μB per formula unit

[3]
# Hf2Sc2Mn GGA-PBE optimized geometry
data_Hf2Sc2Mn
_symmetry_space_group_name_H-M 'P 4/m b m'
_symmetry_Int_Tables_number 127
_symmetry_space_group_name_Hall '-P 4 2ab'
_cell_length_a 6.5089
_cell_length_b 6.5089
_cell_length_c 5.0217
_cell_angle_alpha 90.00
_cell_angle_beta 90.00
_cell_angle_gamma 90.00
loop_
_atom_site_label
_atom_site_fract_x
_atom_site_fract_y
_atom_site_fract_z
Hf1 0.1557 0.3443 0.0000
Sc1 0.1656 0.6656 0.5000
Mn1 0.0000 0.0000 0.0000
# polymorph energy (0 for the lowest one)	0.000	eV/atom
# formation energy from the elements	100	kJ/mol of formula units
# uncorrected energy	-8.14	eV/atom
# magnetization	0.63	μB per formula unit

[4]
# Zr5As2N GGA-PBE optimized geometry
data_Zr5As2N
_symmetry_space_group_name_H-M 'C m c m'
_symmetry_Int_Tables_number 63
_symmetry_space_group_name_Hall '-C 2c 2'
_cell_length_a 4.8856
_cell_length_b 13.1098
_cell_length_c 11.3095
_cell_angle_alpha 90.00
_cell_angle_beta 90.00
_cell_angle_gamma 90.00
loop_
_atom_site_label
_atom_site_fract_x
_atom_site_fract_y
_atom_site_fract_z
Zr1 0.0000 0.0709 0.1251
Zr2 0.0000 0.2965 0.0791
Zr3 0.0000 0.2971 0.7500
As1 0.0000 0.1352 0.5953
N1 0.0000 0.2063 0.2500
# formation energy without anion corrections	-0.604	eV per atom
# uncorrected energy	-8.15	eV/atom
# magnetization	0.55	μB per formula unit

[5]
# Rb2BTeBr6 GGA-PBE optimized geometry
data_Rb2BTeBr6
_symmetry_space_group_name_H-M 'I 4/m m m'
_symmetry_Int_Tables_number 139
_symmetry_space_group_name_Hall '-I 4 2'
_cell_length_a 8.2869
_cell_length_b 8.2869
_cell_length_c 10.3265
_cell_angle_alpha 90.00
_cell_angle_beta 90.00
_cell_angle_gamma 90.00
loop_
_atom_site_label
_atom_site_fract_x
_atom_site_fract_y
_atom_site_fract_z
Rb1 0.0000 0.5000 0.2500
B1 0.0000 0.0000 0.0000
Te1 0.0000 0.0000 0.5000
Br1 0.0000 0.0000 0.1843
Br2 0.2455 0.2455 0.5000
# formation energy without anion corrections	-0.595	eV per atom
# uncorrected energy	-2.77	eV/atom
# magnetization	0.00	μB per formula unit

[6]
# Ce2DyAl6 GGA-PBE optimized geometry
data_Ce2DyAl6
_symmetry_space_group_name_H-M 'P 6/m m m'
_symmetry_Int_Tables_number 191
_symmetry_space_group_name_Hall '-P 6 2'
_cell_length_a 7.9892
_cell_length_b 7.9892
_cell_length_c 3.5175
_cell_angle_alpha 90.00
_cell_angle_beta 90.00
_cell_angle_gamma 120.00
loop_
_atom_site_label
_atom_site_fract_x
_atom_site_fract_y
_atom_site_fract_z
Ce1 0.3333 0.6667 0.0000
Dy1 0.0000 0.0000 0.0000
Al1 0.0000 0.3320 0.5000
# formation energy from the elements	-380	kJ/mol of formula units
# uncorrected energy	-4.76	eV/atom
# magnetization	1.36	μB per formula unit

[7]
# Sm3Dy6Er2Tm GGA-PBE optimized geometry
data_Sm3Dy6Er2Tm
_symmetry_space_group_name_H-M 'C 1 2/m 1'
_symmetry_Int_Tables_number 12
_cell_length_a 6.1555
_cell_length_b 10.6532
_cell_length_c 11.7641
_cell_angle_alpha 90.00
_cell_angle_beta 100.00
_cell_angle_gamma 90.00
loop_
_symmetry_equiv_pos_as_xyz
'x,y,z'
'-x,-y,-z'
'-x,y,-z'
'x,-y,z'
'x+1/2,y+1/2,z'
'-x+1/2,-y+1/2,-z'
'-x+1/2,y+1/2,-z'
'x+1/2,-y+1/2,z'
loop_
_atom_site_label
_atom_site_fract_x
_atom_site_fract_y
_atom_site_fract_z
Sm1 0.0000 0.0000 0.0000
Sm2 0.0000 0.3334 0.0000
Dy1 0.2490 0.0000 0.7465
Dy2 0.2488 0.3334 0.7464
Er1 0.0000 0.1666 0.5000
Tm1 0.0000 0.5000 0.5000
# formation energy from the elements	21	kJ/mol of formula units
# uncorrected energy	-4.60	eV/atom
# magnetization	0.00	μB per formula unit

[8]
# NaHf2ZrNb GGA-PBE optimized geometry
data_NaHf2ZrNb
_symmetry_space_group_name_H-M 'P 4/m m m'
_symmetry_Int_Tables_number 123
_symmetry_space_group_name_Hall '-P 4 2'
_cell_length_a 5.2050
_cell_length_b 5.2050
_cell_length_c 5.1909
_cell_angle_alpha 90.00
_cell_angle_beta 90.00
_cell_angle_gamma 90.00
loop_
_atom_site_label
_atom_site_fract_x
_atom_site_fract_y
_atom_site_fract_z
Na1 0.0000 0.0000 0.0000
Hf1 0.0000 0.5000 0.5000
Zr1 0.5000 0.5000 0.0000
Nb1 0.5000 0.5000 0.5000
# formation energy from the elements	459	kJ/mol of formula units
# uncorrected energy	-7.02	eV/atom
# magnetization	0.00	μB per formula unit

[9]
# SrTa2TcW GGA-PBE optimized geometry
data_SrTa2TcW
_symmetry_space_group_name_H-M 'P 4/m m m'
_symmetry_Int_Tables_number 123
_symmetry_space_group_name_Hall '-P 4 2'
_cell_length_a 4.9069
_cell_length_b 4.9069
_cell_length_c 4.9185
_cell_angle_alpha 90.00
_cell_angle_beta 90.00
_cell_angle_gamma 90.00
loop_
_atom_site_label
_atom_site_fract_x
_atom_site_fract_y
_atom_site_fract_z
Sr1 0.0000 0.0000 0.0000
Ta1 0.0000 0.5000 0.5000
Tc1 0.5000 0.5000 0.5000
W1 0.5000 0.5000 0.0000
# formation energy from the elements	564	kJ/mol of formula units
# uncorrected energy	-8.57	eV/atom
# magnetization	0.00	μB per formula unit

[10]
# Cs3DyPu2O9 GGA-PBE optimized geometry
data_Cs3DyPu2O9
_symmetry_space_group_name_H-M 'P -3 m 1'
_symmetry_Int_Tables_number 164
_symmetry_space_group_name_Hall '-P 3 2"'
_cell_length_a 6.2074
_cell_length_b 6.2074
_cell_length_c 7.6111
_cell_angle_alpha 90.00
_cell_angle_beta 90.00
_cell_angle_gamma 120.00
loop_
_atom_site_label
_atom_site_fract_x
_atom_site_fract_y
_atom_site_fract_z
Cs1 0.0000 0.0000 0.0000
Cs2 0.3333 0.6667 0.6627
Dy1 0.0000 0.0000 0.5000
Pu1 0.3333 0.6667 0.1640
O1 0.0000 0.5000 0.0000
O2 0.1772 0.3544 0.3195
# formation energy without anion corrections	-2.450	eV per atom
# uncorrected energy	-7.81	eV/atom
# magnetization	4.00	μB per formula unit

[11]
# Sb3I7O GGA-PBE optimized geometry
data_Sb3I7O
_symmetry_space_group_name_H-M 'P 3 m 1'
_symmetry_Int_Tables_number 156
_cell_length_a 8.3255
_cell_length_b 8.3255
_cell_length_c 7.6133
_cell_angle_alpha 90.00
_cell_angle_beta 90.00
_cell_angle_gamma 120.00
loop_
_symmetry_equiv_pos_as_xyz
'x,y,z'
'-y,x-y,z'
'-x+y,-x,z'
'-y,-x,z'
'-x+y,y,z'
'x,x-y,z'
loop_
_atom_site_label
_atom_site_fract_x
_atom_site_fract_y
_atom_site_fract_z
Sb1 0.0383 0.5191 0.0000
I1 0.1640 0.3280 0.7404
I2 0.3262 0.1631 0.2322
I3 0.6667 0.3333 0.7686
O1 0.3333 0.6667 0.0818
# formation energy without anion corrections	-0.407	eV per atom
# uncorrected energy	-2.97	eV/atom
# magnetization	0.00	μB per formula unit

[12]
# U3Si6Pt20 GGA-PBE optimized geometry
data_U3Si6Pt20
_symmetry_space_group_name_H-M 'F m -3 m'
_symmetry_Int_Tables_number 225
_symmetry_space_group_name_Hall '-F 4 2 3'
_cell_length_a 12.4016
_cell_length_b 12.4016
_cell_length_c 12.4016
_cell_angle_alpha 90.00
_cell_angle_beta 90.00
_cell_angle_gamma 90.00
loop_
_atom_site_label
_atom_site_fract_x
_atom_site_fract_y
_atom_site_fract_z
U1 0.0000 0.0000 0.0000
U2 0.2500 0.2500 0.2500
Si1 0.0000 0.0000 0.2671
Pt1 0.0000 0.1727 0.1727
Pt2 0.1166 0.1166 0.3834
# formation energy without anion corrections	-0.654	eV per atom
# uncorrected energy	-7.11	eV/atom
# magnetization	5.42	μB per formula unit

[13]
# LuHgRh2 GGA-PBE optimized geometry
data_LuHgRh2
_symmetry_space_group_name_H-M 'P 4/m m m'
_symmetry_Int_Tables_number 123
_symmetry_space_group_name_Hall '-P 4 2'
_cell_length_a 3.3539
_cell_length_b 3.3539
_cell_length_c 6.3917
_cell_angle_alpha 90.00
_cell_angle_beta 90.00
_cell_angle_gamma 90.00
loop_
_atom_site_label
_atom_site_fract_x
_atom_site_fract_y
_atom_site_fract_z
Lu1 0.0000 0.0000 0.0000
Hg1 0.0000 0.0000 0.5000
Rh1 0.5000 0.5000 0.2495
# formation energy from the elements	-195	kJ/mol of formula units
# uncorrected energy	-5.39	eV/atom
# magnetization	0.00	μB per formula unit

[14]
# LiGa GGA-PBE optimized geometry
data_LiGa
_symmetry_space_group_name_H-M 'P n m a'
_symmetry_Int_Tables_number 62
_cell_length_a 9.8537
_cell_length_b 4.4173
_cell_length_c 5.7303
_cell_angle_alpha 90.00
_cell_angle_beta 90.00
_cell_angle_gamma 90.00
loop_
_symmetry_equiv_pos_as_xyz
'x,y,z'
'-x,-y,-z'
'-x+1/2,-y,z+1/2'
'x+1/2,y,-z+1/2'
'x+1/2,-y+1/2,-z+1/2'
'-x+1/2,y+1/2,z+1/2'
'-x,y+1/2,-z'
'x,-y+1/2,z'
loop_
_atom_site_label
_atom_site_fract_x
_atom_site_fract_y
_atom_site_fract_z
Li1 0.0775 0.2500 0.2489
Li2 0.1631 0.7500 0.4988
Ga1 0.0949 0.2500 0.7521
Ga2 0.1635 0.7500 0.0040
# formation energy from the elements	-60	kJ/mol of formula units
# uncorrected energy	-2.78	eV/atom
# magnetization	0.00	μB per formula unit

[15]
# Nd3MgHg12 GGA-PBE optimized geometry
data_Nd3MgHg12
_symmetry_space_group_name_H-M 'P 4/m m m'
_symmetry_Int_Tables_number 123
_symmetry_space_group_name_Hall '-P 4 2'
_cell_length_a 4.7179
_cell_length_b 4.7179
_cell_length_c 18.1236
_cell_angle_alpha 90.00
_cell_angle_beta 90.00
_cell_angle_gamma 90.00
loop_
_atom_site_label
_atom_site_fract_x
_atom_site_fract_y
_atom_site_fract_z
Nd1 0.0000 0.0000 0.0000
Nd2 0.0000 0.0000 0.2643
Mg1 0.0000 0.0000 0.5000
Hg1 0.0000 0.5000 0.1292
Hg2 0.0000 0.5000 0.3854
Hg3 0.5000 0.5000 0.0000
Hg4 0.5000 0.5000 0.2554
Hg5 0.5000 0.5000 0.5000
# formation energy from the elements	-465	kJ/mol of formula units
# uncorrected energy	-1.52	eV/atom
# magnetization	0.00	μB per formula unit

[16]
# TiSeO GGA-PBE optimized geometry
data_TiSeO
_symmetry_space_group_name_H-M 'P 1 m 1'
_symmetry_Int_Tables_number 6
_cell_length_a 5.6637
_cell_length_b 3.1633
_cell_length_c 16.2557
_cell_angle_alpha 90.00
_cell_angle_beta 99.25
_cell_angle_gamma 90.00
loop_
_symmetry_equiv_pos_as_xyz
'x,y,z'
'x,-y,z'
loop_
_atom_site_label
_atom_site_fract_x
_atom_site_fract_y
_atom_site_fract_z
Ti1 0.0000 0.0000 0.0000
Ti2 0.0678 0.5000 0.8256
Ti3 0.2345 0.5000 0.4927
Ti4 0.4043 0.5000 0.1671
Ti5 0.6482 0.0000 0.6607
Ti6 0.8202 0.0000 0.3293
Se1 0.1450 0.0000 0.2330
Se2 0.3318 0.0000 0.7505
Se3 0.4889 0.0000 0.4252
Se4 0.6237 0.0000 0.0887
Se5 0.6985 0.5000 0.9103
Se6 0.9988 0.0000 0.5666
O1 0.1209 0.5000 0.0573
O2 0.1414 0.0000 0.8980
O3 0.5157 0.5000 0.6023
O4 0.6589 0.5000 0.2669
O5 0.8321 0.5000 0.7310
O6 0.9773 0.5000 0.3910
# formation energy without anion corrections	-1.883	eV per atom
# uncorrected energy	-7.33	eV/atom
# magnetization	0.00	μB per formula unit

[17]
# ZnCrP2 GGA-PBE optimized geometry
data_ZnCrP2
_symmetry_space_group_name_H-M 'F -4 3 m'
_symmetry_Int_Tables_number 216
_symmetry_space_group_name_Hall 'F -4 2 3'
_cell_length_a 6.1764
_cell_length_b 6.1764
_cell_length_c 6.1764
_cell_angle_alpha 90.00
_cell_angle_beta 90.00
_cell_angle_gamma 90.00
loop_
_atom_site_label
_atom_site_fract_x
_atom_site_fract_y
_atom_site_fract_z
Zn1 0.0000 0.0000 0.0000
Cr1 0.2500 0.2500 0.2500
P1 0.0000 0.0000 0.5000
P2 0.2500 0.2500 0.7500
# formation energy from the elements	193	kJ/mol of formula units
# uncorrected energy	-4.93	eV/atom
# magnetization	3.20	μB per formula unit

[18]
# Sc4GePbC GGA-PBE optimized geometry
data_Sc4GePbC
_symmetry_space_group_name_H-M 'C m c m'
_symmetry_Int_Tables_number 63
_symmetry_space_group_name_Hall '-C 2c 2'
_cell_length_a 6.2516
_cell_length_b 14.7184
_cell_length_c 6.2593
_cell_angle_alpha 90.00
_cell_angle_beta 90.00
_cell_angle_gamma 90.00
loop_
_atom_site_label
_atom_site_fract_x
_atom_site_fract_y
_atom_site_fract_z
Sc1 0.0000 0.0876 0.2500
Sc2 0.0000 0.4029 0.2500
Sc3 0.2500 0.2500 0.0000
Ge1 0.0000 0.1128 0.7500
Pb1 0.0000 0.3970 0.7500
C1 0.0000 0.2470 0.2500
# formation energy from the elements	-453	kJ/mol of formula units
# uncorrected energy	-6.80	eV/atom
# magnetization	0.00	μB per formula unit

[19]
# BaHf2NiPb GGA-PBE optimized geometry
data_BaHf2NiPb
_symmetry_space_group_name_H-M 'P 4/m m m'
_symmetry_Int_Tables_number 123
_symmetry_space_group_name_Hall '-P 4 2'
_cell_length_a 5.0763
_cell_length_b 5.0763
_cell_length_c 5.1531
_cell_angle_alpha 90.00
_cell_angle_beta 90.00
_cell_angle_gamma 90.00
loop_
_atom_site_label
_atom_site_fract_x
_atom_site_fract_y
_atom_site_fract_z
Ba1 0.0000 0.0000 0.0000
Hf1 0.0000 0.5000 0.5000
Ni1 0.5000 0.5000 0.5000
Pb1 0.5000 0.5000 0.0000
# formation energy from the elements	186	kJ/mol of formula units
# uncorrected energy	-5.88	eV/atom
# magnetization	0.00	μB per formula unit

[20]
# Ba2TiSi GGA-PBE optimized geometry
data_Ba2TiSi
_symmetry_space_group_name_H-M 'I -4 2 d'
_symmetry_Int_Tables_number 122
_symmetry_space_group_name_Hall 'I -4 2bw'
_cell_length_a 12.1530
_cell_length_b 12.1530
_cell_length_c 5.0076
_cell_angle_alpha 90.00
_cell_angle_beta 90.00
_cell_angle_gamma 90.00
loop_
_atom_site_label
_atom_site_fract_x
_atom_site_fract_y
_atom_site_fract_z
Ba1 0.0840 0.2500 0.1250
Ti1 0.0000 0.0000 0.5000
Si1 0.0000 0.0000 0.0000
# formation energy without anion corrections	0.293	eV per atom
# uncorrected energy	-4.00	eV/atom
# magnetization	3.04	μB per formula unit